This record from Alexandria via LeMat-Bulk describes Er8ZnBi2 after structural relaxation. The functional is PBE-GGA.

Geometry as extended XYZ:
```
11
Lattice="-2.0386 -2.2563 3.9742 5.7667 0.9541 3.4998 -3.9311 9.0210 -0.0453" Properties=species:S:1:pos:R:3 pbc="T T T"
Er -1.0632 6.9613 3.4068
Er -2.3547 1.2708 2.6641
Er -0.0544 4.0343 5.4130
Er -4.5251 6.7978 4.6887
Er -0.1485 3.6845 2.0157
Er 2.1517 6.4480 4.7646
Er 0.8603 0.7576 4.0219
Er 4.3221 0.9210 2.7400
Zn -1.0193 -1.1282 1.9871
Bi -2.9149 4.1294 3.9997
Bi 2.7120 3.5895 3.4290
```

## Properties
* density: 9555 kg/m³
* magnetic moment: 0.004 μB per cell
* Fermi-level density of states: 0.9324 states/eV/atom
* calculated volume: 316.6 Å³ per cell
* calculated formation energy: -0.2525 eV/atom
* space-group type: C2/m
* electronic total energy: -4.392 eV per atom

This record from Alexandria via LeMat-Bulk describes K3Nd3SnSe8 after structural relaxation. The functional is PBE-GGA.

Geometry as extended XYZ:
```
15
Lattice="-2.9263 6.5832 -4.5659 -1.8809 -7.9844 -2.3395 -4.2451 3.3466 7.5458" Properties=species:S:1:pos:R:3 pbc="T T T"
K 0.0000 0.0000 0.0000
K -0.9404 -3.9922 -1.1697
K -2.4036 -0.7006 -3.4527
Nd -3.5857 4.9649 1.4899
Nd -4.5261 0.9727 0.3202
Nd -3.0630 -2.3189 2.6032
Sn -2.1225 1.6733 3.7729
Se -2.9957 -1.5008 -0.2437
Se -6.0566 3.4463 0.8842
Se -4.5843 1.6917 -2.5891
Se -4.4680 0.2538 3.2295
Se -3.5833 5.9415 -1.3440
Se -5.4689 -3.9960 1.9844
Se -2.0257 2.4373 1.0864
Se -7.0266 -0.4918 -0.4460
```

## Properties
* density: 4356 kg/m³
* magnetic moment: 0.000 μB per cell
* Fermi-level density of states: 0.0570 states/eV/atom
* calculated volume: 495.7 Å³ per cell
* raw formation energy: -138.7 kJ/mol of atoms
* space-group type: R-3m
* electronic total energy: -4.736 eV per atom

This record from Alexandria via LeMat-Bulk describes LaTbPrHo2 after structural relaxation. The functional is PBE-GGA.

Geometry as extended XYZ:
```
10
Lattice="7.2237 0.0000 0.0000 0.0000 8.4871 0.0000 0.0000 -4.2435 5.8091" Properties=species:S:1:pos:R:3 pbc="T T T"
La 1.8059 4.2435 2.7217
La 5.4178 0.0000 3.0874
Tb 5.4178 4.2435 2.5413
Tb 1.8059 0.0000 3.2678
Pr 1.8059 4.2435 5.8047
Pr 5.4178 0.0000 0.0044
Ho 3.6118 2.6621 0.0000
Ho 0.0000 5.8250 0.0000
Ho 3.6118 5.8250 0.0000
Ho 0.0000 2.6621 0.0000
```

## Properties
* density: 7167 kg/m³
* magnetic moment: 0.001 μB per cell
* Fermi-level density of states: 1.6435 states/eV/atom
* calculated volume: 356.1 Å³ per cell
* calculated formation energy: 0.3515 eV/atom
* space-group type: Cmcm
* electronic total energy: -4.347 eV per atom